No. 1
A geometry-optimized BeCdSe2 structure. Source: the Alexandria database, functional GGA-PBE.

extended XYZ file:
```
12
Lattice="3.7621 0.0000 0.0000 -1.8811 3.2581 0.0000 0.0000 0.0000 22.2461" Properties=species:S:1:pos:R:3 pbc="T T T"
Be 0.0000 0.0000 0.0000
Be 0.0000 2.1721 14.8307
Be 1.8811 1.0860 7.4153
Cd 0.0000 0.0000 11.1230
Cd 0.0000 2.1721 3.7077
Cd 1.8811 1.0860 18.5384
Se 0.0000 0.0000 8.6139
Se 0.0000 0.0000 13.6322
Se 0.0000 2.1721 1.1985
Se 0.0000 2.1721 6.2168
Se 1.8811 1.0860 16.0292
Se 1.8811 1.0860 21.0475
```

Computed properties:
Total magnetic moment = 0.000 μB/atom
Formation energy without anion corrections = -0.20 eV/atom
Energy above the most stable polymorph in this dataset = 0.484 eV/atom
DFT total energy = -0.2281 Ry/atom
SG = R-3m
DOS(E_F) = 0.7 states/eV per cell

No. 2
A geometry-optimized BeCdSe2 structure. Source: the Alexandria database, functional GGA-PBE.

extended XYZ file:
```
8
Lattice="7.1142 0.0000 0.0000 0.0000 3.5634 0.0000 -2.3847 0.0000 6.2858" Properties=species:S:1:pos:R:3 pbc="T T T"
Be 0.0000 0.0000 0.0000
Be 3.5571 1.7817 0.0000
Cd -1.1923 1.7817 3.1429
Cd 2.3648 0.0000 3.1429
Se 0.8341 1.7817 1.3449
Se 0.3383 0.0000 4.9410
Se 4.3912 0.0000 1.3449
Se 3.8954 1.7817 4.9410
```

Computed properties:
Total magnetic moment = 0.000 μB/atom
Formation energy without anion corrections = -0.34 eV/atom
Energy above the most stable polymorph in this dataset = 0.350 eV/atom
DFT total energy = -0.2380 Ry/atom
SG = C2/m
DOS(E_F) = 0.0 states/eV per cell

No. 3
A geometry-optimized BeCdSe2 structure. Source: the Alexandria database, functional GGA-PBE.

extended XYZ file:
```
8
Lattice="3.4852 0.0000 0.0000 0.0000 8.5528 0.0000 0.0000 0.0000 7.2562" Properties=species:S:1:pos:R:3 pbc="T T T"
Be 0.0000 0.0000 0.0000
Be 1.7426 4.2764 0.0000
Cd 0.0000 0.0000 3.6281
Cd 1.7426 4.2764 3.6281
Se 0.0000 4.2764 1.5123
Se 0.0000 4.2764 5.7440
Se 1.7426 0.0000 1.5123
Se 1.7426 0.0000 5.7440
```

Computed properties:
Total magnetic moment = 0.000 μB/atom
Formation energy without anion corrections = -0.10 eV/atom
Energy above the most stable polymorph in this dataset = 0.591 eV/atom
DFT total energy = -0.2203 Ry/atom
SG = Cmmm
DOS(E_F) = 3.0 states/eV per cell